(1)
This record from Alexandria via LeMat-Bulk describes a relaxed structure of DyPd3. The functional is PBE-GGA.

Lattice parameters (Å, degrees): 4.171 4.171 8.189 90.00 90.00 90.00
Space group I4/mmm (No. 139)
Unique sites:
Dy 0.000 0.000 0.000 x2
Pd 0.000 0.000 0.500 x2
Pd 0.000 0.500 0.250 x4

For the density of states at the Fermi level, the calculation gives 5.691 states/eV/cell. Its crystal system is tetragonal. Its formation energy is -0.7863 eV per atom.



(2)
This record from Alexandria via LeMat-Bulk describes a relaxed structure of Dy5Pd6. The functional is PBE-GGA.

Lattice parameters (Å, degrees): 15.093 7.071 4.868 90.00 106.18 90.00
Space group C2/m (No. 12)
Unique sites:
Dy 0.000 0.000 0.000 x2
Dy 0.141 0.500 0.666 x4
Dy 0.176 0.000 0.673 x4
Pd 0.000 0.215 0.500 x4
Pd 0.177 0.228 0.184 x8

For the density of states at the Fermi level, the calculation gives 10.385 states/eV/cell. Its crystal system is monoclinic. Its formation energy is -0.7858 eV per atom.



(3)
This record from Alexandria via LeMat-Bulk describes a relaxed structure of Dy2Pd17. The functional is PBE-GGA.

Lattice parameters (Å, degrees): 9.1197 9.1197 13.5858 90.00 90.00 120.00
Space group R-3m (No. 166, hexagonal axes)
Unique sites:
Dy 0.0000 0.0000 0.1738 x6
Pd 0.0000 0.0000 0.3991 x6
Pd 0.0000 0.3088 0.5000 x18
Pd 0.0000 0.5000 0.0000 x9
Pd 0.0058 0.5029 0.6552 x18

For the density of states at the Fermi level, the calculation gives 68.618 states/eV/cell. Its crystal system is trigonal. Its formation energy is -0.3012 eV per atom.



> Number 2 is which compound?

Dy5Pd6